Entry 1:
A relaxed structure of MnNi2Ir6, computed with PBE. Values from VASP.

Calculated density   17.985 Mg/m³
E   -8.255 eV per atom
Symmetry   No. 2
Volume   244.79 Å³ per cell
Calculated formation energy   -0.044 eV per atom

```
&SYSTEM
  ibrav = 0, nat = 18, ntyp = 3
/
ATOMIC_SPECIES
Mn 54.94 Mn.upf
Ni 58.69 Ni.upf
Ir 192.22 Ir.upf
ATOMIC_POSITIONS angstrom
Mn 2.1446 0.6527 0.6840
Mn 0.8337 5.1041 9.0019
Ni 3.5829 3.8555 6.7831
Ni 2.0346 1.3494 3.1841
Ni -0.6046 1.9013 2.9027
Ni 0.9436 4.4074 6.5018
Ir 1.9024 2.0151 5.7806
Ir -0.7194 2.5711 5.5214
Ir 1.0758 3.7417 3.9052
Ir 3.6976 3.1857 4.1645
Ir 2.7310 5.5664 4.8972
Ir 1.7681 2.7226 8.3593
Ir 0.2473 0.1904 4.7887
Ir 1.2101 3.0342 1.3265
Ir -1.7784 5.6998 8.7970
Ir 0.1225 6.1269 4.6368
Ir 4.7566 0.0570 0.8889
Ir 2.8558 -0.3701 5.0491
CELL_PARAMETERS angstrom
5.2684 -1.1258 0.5246
-0.2436 6.6406 2.3840
-2.0466 0.2420 6.7772
```

Entry 2:
A relaxed structure of MnNi2Ir, computed with PBE. Values from VASP.

Calculated density   12.499 Mg/m³
E   -7.501 eV per atom
Symmetry   No. 119
Volume   48.43 Å³ per cell
Calculated formation energy   -0.103 eV per atom

```
&SYSTEM
  ibrav = 0, nat = 4, ntyp = 3
/
ATOMIC_SPECIES
Ni 58.69 Ni.upf
Ir 192.22 Ir.upf
Mn 54.94 Mn.upf
ATOMIC_POSITIONS angstrom
Ni 0.0000 0.0000 0.0000
Ni -0.3911 -1.9495 -1.6368
Ir -2.7012 -0.9751 -2.2256
Mn -2.1055 -1.4649 0.2316
CELL_PARAMETERS angstrom
-4.4156 -0.4905 -0.3572
-0.9869 -1.4597 -4.0940
2.9058 -1.4642 3.0460
```

Entry 3:
A relaxed structure of Mn3NiIr4, computed with PBE. Values from VASP.

Calculated density   15.492 Mg/m³
E   -8.832 eV per atom
Symmetry   No. 47
Volume   106.37 Å³ per cell
Calculated formation energy   -0.240 eV per atom

```
&SYSTEM
  ibrav = 0, nat = 8, ntyp = 3
/
ATOMIC_SPECIES
Ni 58.69 Ni.upf
Mn 54.94 Mn.upf
Ir 192.22 Ir.upf
ATOMIC_POSITIONS angstrom
Ni 0.0694 -0.1041 -2.6357
Mn -1.4168 -1.8533 -1.2202
Mn -0.2037 -3.9158 -2.4923
Mn -1.6912 -5.6837 -1.0761
Ir -0.2731 -3.8117 0.1433
Ir 0.9408 -5.8637 -1.1292
Ir 0.0000 0.0000 0.0000
Ir 1.2137 -2.0542 -1.2724
CELL_PARAMETERS angstrom
-2.5618 0.0864 -2.5830
2.7006 -0.2946 -2.6883
-0.5461 -7.6233 0.2867
```

Entry 4:
A relaxed structure of Mn2NiIr, computed with PBE. Values from VASP.

Calculated density   11.244 Mg/m³
E   -8.313 eV per atom
Symmetry   No. 123
Volume   53.28 Å³ per cell
Calculated formation energy   -0.068 eV per atom

```
&SYSTEM
  ibrav = 0, nat = 4, ntyp = 3
/
ATOMIC_SPECIES
Ir 192.22 Ir.upf
Mn 54.94 Mn.upf
Ni 58.69 Ni.upf
ATOMIC_POSITIONS angstrom
Ir 1.4279 1.5756 4.4195
Mn 0.0000 0.0000 0.0679
Mn 0.0000 0.0000 2.8784
Ni 1.4279 1.5756 1.4732
CELL_PARAMETERS angstrom
3.0034 0.1478 0.0000
-0.1476 3.0034 0.0000
0.0000 0.0000 5.8926
```

Entry 5:
A relaxed structure of MnNi2Ir, computed with PBE. Values from VASP.

Calculated density   12.714 Mg/m³
E   -7.185 eV per atom
Symmetry   No. 225
Volume   47.61 Å³ per cell
Calculated formation energy   0.213 eV per atom

```
&SYSTEM
  ibrav = 0, nat = 4, ntyp = 3
/
ATOMIC_SPECIES
Ni 58.69 Ni.upf
Ir 192.22 Ir.upf
Mn 54.94 Mn.upf
ATOMIC_POSITIONS angstrom
Ni 0.9441 -2.1242 -0.8961
Ni 2.8324 -6.3725 -2.6884
Ir 1.8883 -4.2484 -1.7923
Mn 0.0000 0.0000 0.0000
CELL_PARAMETERS angstrom
2.9987 -1.6285 -2.2152
1.5173 -3.6412 0.9951
-0.7394 -3.2270 -2.3645
```

Entry 6:
A relaxed structure of MnNi6Ir, computed with PBE. Values from VASP.

Offset from the most stable computed form   0.332 eV per atom
Calculated density   9.549 Mg/m³
E   -6.286 eV per atom
Symmetry   No. 12
Volume   104.22 Å³ per cell
Calculated formation energy   0.304 eV per atom

```
&SYSTEM
  ibrav = 0, nat = 8, ntyp = 3
/
ATOMIC_SPECIES
Mn 54.94 Mn.upf
Ni 58.69 Ni.upf
Ir 192.22 Ir.upf
ATOMIC_POSITIONS angstrom
Mn 3.3483 3.1055 3.0169
Ni 1.2380 2.7024 1.8499
Ni 2.7877 1.0315 1.8499
Ni 3.9089 5.1795 4.1839
Ni 5.4586 3.5087 4.1839
Ni 3.2476 3.0121 5.6854
Ni 3.4490 3.1989 0.3484
Ir 0.0000 0.0000 0.0000
CELL_PARAMETERS angstrom
4.2267 0.7157 -0.0595
1.0312 4.1610 -0.0595
1.4386 1.3343 6.1527
```

The records above give, respectively, size of the total moment values of 2.3, 2.0, 3.3, 8.4, 0.0, 3.3 μB/f.u..